This record from Alexandria via LeMat-Bulk describes a relaxed Dy6TmCd2 crystal. The functional is PBE.

Lattice parameters (Å, degrees): 12.5506 3.7323 11.8100 90.00 108.85 90.00
With the nearest neighbours (Å) after each atom.
Space group C2/m (No. 12)
Inequivalent atoms, fractional coordinates:
Dy (0.0158, 0.0000, 0.3379)  2 Cd 3.20, 7 Dy 3.49-3.54
Dy (0.1849, 0.5000, 0.8775)  2 Cd 3.21, 5 Dy 3.39-3.49
Dy (0.1873, 0.5000, 0.5844)  2 Cd 3.27, 8 Dy 3.46-3.54
Tm (0.0000, 0.0000, 0.0000)  4 Cd 3.13
Cd (0.1453, 0.5000, 0.2052)  2 Tm 3.13, 6 Dy 3.20-3.27

Calculated values
ΔE_f in eV per atom: -0.13
E in eV per atom: -3.90